(1)
## Cu3TeAu (PBE)

Data for a relaxed structure of Cu3TeAu.

a b c (Å): 4.853 4.853 4.853
angles (deg): 90.00 90.00 90.00
Space group Pm-3m (No. 221)
Unique sites:
Cu: 0.000 0.000 0.500 (multiplicity 3)
Te: 0.000 0.000 0.000 (multiplicity 1)
Au: 0.500 0.500 0.500 (multiplicity 1)

Computed properties:
- Electronic total energy: -0.113 hartree per atom
- D(E_F): 0.10 states/eV/cell

***

(2)
## Cu2TeAu (PBE)

Data for a relaxed structure of Cu2TeAu.

a b c (Å): 6.021 6.065 7.595
angles (deg): 90.00 90.00 90.00
Space group Fmmm (No. 69)
Unique sites:
Cu: 0.250 0.250 0.250 (multiplicity 8)
Te: 0.000 0.000 0.000 (multiplicity 4)
Au: 0.000 0.000 0.500 (multiplicity 4)

Computed properties:
- Electronic total energy: -0.128 hartree per atom
- D(E_F): 5.48 states/eV/cell

***

(3)
## Cu2TeAu (PBE)

Data for a relaxed structure of Cu2TeAu.

a b c (Å): 7.718 3.029 6.427
angles (deg): 90.00 100.48 90.00
Space group C2/m (No. 12)
Unique sites:
Cu: 0.246 0.000 0.223 (multiplicity 4)
Te: 0.000 0.000 0.500 (multiplicity 2)
Au: 0.000 0.500 0.000 (multiplicity 2)

Computed properties:
- Electronic total energy: -0.128 hartree per atom
- D(E_F): 2.94 states/eV/cell

***

(4)
## Cu3Te8Au3 (PBE)

Data for a relaxed structure of Cu3Te8Au3.

a b c (Å): 8.1820 8.1820 19.2344
angles (deg): 90.00 90.00 120.00
Space group R-3m (No. 166, hexagonal axes)
Unique sites:
Cu: 0.0000 0.0000 0.0000 (multiplicity 3)
Cu: 0.0000 0.0000 0.3818 (multiplicity 6)
Te: 0.0000 0.0000 0.2465 (multiplicity 6)
Te: 0.0192 0.5096 0.7471 (multiplicity 18)
Au: 0.0000 0.5000 0.5000 (multiplicity 9)

Computed properties:
- Electronic total energy: -0.123 hartree per atom
- D(E_F): 28.54 states/eV/cell

***

(5)
## CuTeAu (PBE)

Data for a relaxed structure of CuTeAu.

a b c (Å): 3.092 3.092 12.755
angles (deg): 90.00 90.00 90.00
Space group I4mm (No. 107)
Unique sites:
Cu: 0.000 0.000 0.000 (multiplicity 2)
Te: 0.000 0.000 0.344 (multiplicity 2)
Au: 0.000 0.000 0.623 (multiplicity 2)

Computed properties:
- Electronic total energy: -0.120 hartree per atom
- D(E_F): 1.63 states/eV/cell

***

(6)
## Cu2Te2Au (PBE)

Data for a relaxed structure of Cu2Te2Au.

a b c (Å): 5.197 5.197 7.962
angles (deg): 90.00 90.00 90.00
Space group I4/mmm (No. 139)
Unique sites:
Cu: 0.000 0.000 0.164 (multiplicity 4)
Te: 0.000 0.500 0.250 (multiplicity 4)
Au: 0.000 0.000 0.500 (multiplicity 2)

Computed properties:
- Electronic total energy: -0.120 hartree per atom
- D(E_F): 6.32 states/eV/cell

***

(7)
## CuTe4Au2 (PBE)

Data for a relaxed structure of CuTe4Au2.

a b c (Å): 13.056 4.314 7.507
angles (deg): 90.00 124.65 90.00
Space group C2/m (No. 12)
Unique sites:
Cu: 0.000 0.000 0.000 (multiplicity 2)
Te: 0.108 0.000 0.452 (multiplicity 4)
Te: 0.113 0.500 0.944 (multiplicity 4)
Au: 0.245 0.500 0.738 (multiplicity 4)

Computed properties:
- Electronic total energy: -0.122 hartree per atom
- D(E_F): 7.24 states/eV/cell

***

(8)
## CuTeAu (PBE)

Data for a relaxed structure of CuTeAu.

a b c (Å): 4.0312 4.0312 4.4279
angles (deg): 90.00 90.00 120.00
Space group P3m1 (No. 156)
Unique sites:
Cu: 0.0000 0.0000 0.0000 (multiplicity 1)
Te: 0.6667 0.3333 0.2920 (multiplicity 1)
Au: 0.3333 0.6667 0.7054 (multiplicity 1)

Computed properties:
- Electronic total energy: -0.124 hartree per atom
- D(E_F): 1.12 states/eV/cell

***

(9)
## Cu2TeAu (PBE)

Data for a relaxed structure of Cu2TeAu.

a b c (Å): 3.616 3.628 5.441
angles (deg): 90.00 90.00 90.00
Space group Pmm2 (No. 25)
Unique sites:
Cu: 0.000 0.000 0.000 (multiplicity 1)
Cu: 0.500 0.500 0.296 (multiplicity 1)
Te: 0.500 0.500 0.810 (multiplicity 1)
Au: 0.000 0.000 0.469 (multiplicity 1)

Computed properties:
- Electronic total energy: -0.128 hartree per atom
- D(E_F): 1.93 states/eV/cell

***

(10)
## Cu2TeAu (PBE)

Data for a relaxed structure of Cu2TeAu.

a b c (Å): 3.7745 3.7745 18.4690
angles (deg): 90.00 90.00 120.00
Space group R-3m (No. 166, hexagonal axes)
Unique sites:
Cu: 0.0000 0.0000 0.2457 (multiplicity 6)
Te: 0.0000 0.0000 0.0000 (multiplicity 3)
Au: 0.0000 0.0000 0.5000 (multiplicity 3)

Computed properties:
- Electronic total energy: -0.128 hartree per atom
- D(E_F): 6.25 states/eV/cell

***

(11)
## Cu2TeAu2 (PBE)

Data for a relaxed structure of Cu2TeAu2.

a b c (Å): 7.632 7.632 3.063
angles (deg): 90.00 90.00 90.00
Space group P4/mbm (No. 127)
Unique sites:
Cu: 0.156 0.344 0.000 (multiplicity 4)
Te: 0.000 0.000 0.500 (multiplicity 2)
Au: 0.137 0.637 0.500 (multiplicity 4)

Computed properties:
- Electronic total energy: -0.128 hartree per atom
- D(E_F): 1.69 states/eV/cell

***

(12)
## Cu2Te7Au2 (PBE)

Data for a relaxed structure of Cu2Te7Au2.

a b c (Å): 8.034 12.269 6.505
angles (deg): 90.00 106.28 90.00
Space group C2/m (No. 12)
Unique sites:
Cu: 0.000 0.194 0.000 (multiplicity 4)
Te: 0.000 0.500 0.500 (multiplicity 2)
Te: 0.110 0.000 0.226 (multiplicity 4)
Te: 0.217 0.219 0.746 (multiplicity 8)
Au: 0.244 0.000 0.724 (multiplicity 4)

Computed properties:
- Electronic total energy: -0.120 hartree per atom
- D(E_F): 13.23 states/eV/cell

***

(13)
## CuTe8Au2 (PBE)

Data for a relaxed structure of CuTe8Au2.

a b c (Å): 10.520 8.408 7.287
angles (deg): 90.00 95.25 90.00
Space group C2/m (No. 12)
Unique sites:
Cu: 0.000 0.000 0.000 (multiplicity 2)
Te: 0.059 0.500 0.677 (multiplicity 4)
Te: 0.138 0.000 0.697 (multiplicity 4)
Te: 0.146 0.280 0.122 (multiplicity 8)
Au: 0.167 0.000 0.326 (multiplicity 4)

Computed properties:
- Electronic total energy: -0.117 hartree per atom
- D(E_F): 11.90 states/eV/cell

***

(14)
## Cu2TeAu (PBE)

Data for a relaxed structure of Cu2TeAu.

a b c (Å): 3.465 3.465 5.775
angles (deg): 90.00 90.00 90.00
Space group P4/mmm (No. 123)
Unique sites:
Cu: 0.000 0.000 0.228 (multiplicity 2)
Te: 0.500 0.500 0.500 (multiplicity 1)
Au: 0.500 0.500 0.000 (multiplicity 1)

Computed properties:
- Electronic total energy: -0.128 hartree per atom
- D(E_F): 2.49 states/eV/cell

***

(15)
## Cu2TeAu2 (PBE)

Data for a relaxed structure of Cu2TeAu2.

a b c (Å): 3.852 3.852 12.617
angles (deg): 90.00 90.00 90.00
Space group I4/mmm (No. 139)
Unique sites:
Cu: 0.000 0.000 0.096 (multiplicity 4)
Te: 0.000 0.000 0.500 (multiplicity 2)
Au: 0.000 0.500 0.250 (multiplicity 4)

Computed properties:
- Electronic total energy: -0.126 hartree per atom
- D(E_F): 4.31 states/eV/cell

***

(16)
## CuTeAu3 (PBE)

Data for a relaxed structure of CuTeAu3.

a b c (Å): 4.812 4.812 4.812
angles (deg): 90.00 90.00 90.00
Space group Pm-3m (No. 221)
Unique sites:
Cu: 0.000 0.000 0.000 (multiplicity 1)
Te: 0.500 0.500 0.500 (multiplicity 1)
Au: 0.000 0.000 0.500 (multiplicity 3)

Computed properties:
- Electronic total energy: -0.107 hartree per atom
- D(E_F): 2.12 states/eV/cell

***

(17)
## TiCu2TeAu (PBE)

Data for a relaxed structure of TiCu2TeAu.

a b c (Å): 4.742 4.742 4.978
angles (deg): 90.00 90.00 90.00
Space group P4/mmm (No. 123)
Unique sites:
Ti: 0.000 0.000 0.000 (multiplicity 1)
Cu: 0.000 0.500 0.500 (multiplicity 2)
Te: 0.500 0.500 0.000 (multiplicity 1)
Au: 0.000 0.000 0.500 (multiplicity 1)

Computed properties:
- Electronic total energy: -0.145 hartree per atom
- D(E_F): 5.70 states/eV/cell

***

(18)
## TlCu2TeAu (PBE)

Data for a relaxed structure of TlCu2TeAu.

a b c (Å): 4.824 4.824 6.038
angles (deg): 90.00 90.00 90.00
Space group P4/mmm (No. 123)
Unique sites:
Tl: 0.000 0.000 0.000 (multiplicity 1)
Cu: 0.000 0.500 0.000 (multiplicity 2)
Te: 0.000 0.000 0.500 (multiplicity 1)
Au: 0.500 0.500 0.500 (multiplicity 1)

Computed properties:
- Electronic total energy: -0.089 hartree per atom
- D(E_F): 3.05 states/eV/cell

***

(19)
## Tl2CuTeAu (PBE)

Data for a relaxed structure of Tl2CuTeAu.

a b c (Å): 5.559 5.559 4.838
angles (deg): 90.00 90.00 90.00
Space group P4/mmm (No. 123)
Unique sites:
Tl: 0.000 0.500 0.000 (multiplicity 2)
Cu: 0.000 0.000 0.000 (multiplicity 1)
Te: 0.000 0.000 0.500 (multiplicity 1)
Au: 0.500 0.500 0.500 (multiplicity 1)

Computed properties:
- Electronic total energy: -0.103 hartree per atom
- D(E_F): 1.22 states/eV/cell

***

(20)
## TlCuTe2Au (PBE)

Data for a relaxed structure of TlCuTe2Au.

a b c (Å): 5.463 14.287 7.735
angles (deg): 90.00 90.00 90.00
Space group Cmme (No. 67)
Unique sites:
Tl: 0.000 0.250 0.193 (multiplicity 4)
Cu: 0.250 0.000 0.000 (multiplicity 4)
Te: 0.000 0.106 0.784 (multiplicity 8)
Au: 0.000 0.000 0.500 (multiplicity 4)

Computed properties:
- Electronic total energy: -0.121 hartree per atom
- D(E_F): 10.98 states/eV/cell

***

Result set for M_tot: 0.0 0.0 0.0 0.0 0.0 0.0 0.0 0.0 0.0 0.0 0.0 0.0 0.0 0.0 0.0 0.0 0.0 0.0 0.0 0.0 Bohr magnetons per cell, one per record in the order listed.